Entry 1:
Computed, not measured: a relaxed structure of KTc2Pt at the PBE level of DFT.

Geometry as CIF:
```
data_KTc2Pt
_chemical_formula_sum 'K1 Tc2 Pt1'
_space_group_name_H-M_alt 'P 1'
_space_group_IT_number 1
_cell_length_a 2.7413
_cell_length_b 4.9619
_cell_length_c 5.1961
_cell_angle_alpha 90.00
_cell_angle_beta 90.00
_cell_angle_gamma 90.00
loop_
_space_group_symop_operation_xyz
'x,y,z'
loop_
_atom_site_label
_atom_site_fract_x
_atom_site_fract_y
_atom_site_fract_z
K1 0.0000 0.0000 0.0000
Tc1 0.0000 0.5000 0.5000
Tc2 0.5000 0.0000 0.5000
Pt1 0.5000 0.5000 0.0000
```

Calculated values
Space group: Pmmm, No. 47
Crystal system: orthorhombic
Density, g/cm³: 10.1
Electronic total energy, eV/atom: -5.91
ΔH_f (0 K), meV per atom: 1061
E above lowest polymorph, eV per atom: 0.649

Entry 2:
Computed, not measured: a relaxed structure of KTcPt at the PBE level of DFT.

Geometry as CIF:
```
data_KTcPt
_chemical_formula_sum 'K2 Tc2 Pt2'
_space_group_name_H-M_alt 'P 1'
_space_group_IT_number 1
_cell_length_a 2.9427
_cell_length_b 4.7300
_cell_length_c 11.6279
_cell_angle_alpha 82.39
_cell_angle_beta 86.76
_cell_angle_gamma 71.90
loop_
_space_group_symop_operation_xyz
'x,y,z'
loop_
_atom_site_label
_atom_site_fract_x
_atom_site_fract_y
_atom_site_fract_z
K1 0.2282 0.1933 0.1720
K2 0.7718 0.8067 0.8280
Tc1 0.3550 0.7783 0.5263
Tc2 0.6450 0.2217 0.4737
Pt1 0.0523 0.3274 0.6517
Pt2 0.9477 0.6726 0.3483
```

Calculated values
Space group: P-1, No. 2
Crystal system: triclinic
Density, g/cm³: 7.2
Electronic total energy, eV/atom: -5.58
ΔH_f (0 K), meV per atom: 251
E above lowest polymorph, eV per atom: 0.112

Entry 3:
Computed, not measured: a relaxed structure of KTc2Pt at the PBE level of DFT.

Geometry as CIF:
```
data_KTc2Pt
_chemical_formula_sum 'K1 Tc2 Pt1'
_space_group_name_H-M_alt 'P 1'
_space_group_IT_number 1
_cell_length_a 5.3371
_cell_length_b 5.3371
_cell_length_c 5.3371
_cell_angle_alpha 136.88
_cell_angle_beta 136.88
_cell_angle_gamma 62.62
loop_
_space_group_symop_operation_xyz
'x,y,z'
loop_
_atom_site_label
_atom_site_fract_x
_atom_site_fract_y
_atom_site_fract_z
K1 0.0000 0.0000 0.0000
Tc1 0.2500 0.7500 0.5000
Tc2 0.7500 0.2500 0.5000
Pt1 0.5000 0.5000 0.0000
```

Calculated values
Space group: I4/mmm, No. 139
Crystal system: tetragonal
Density, g/cm³: 10.2
Electronic total energy, eV/atom: -5.71
ΔH_f (0 K), meV per atom: 1255
E above lowest polymorph, eV per atom: 0.843